## BaRe2 (GGA-PBE)

Data for a geometry-optimized BaRe2 structure.

Cell: 3.601 3.601 5.926 Å, 90.00 90.00 90.00°
Positions (direct):
1 Ba 0.000 0.000 0.000
2 Re 0.000 0.500 0.500
3 Re 0.500 0.000 0.500

energy above the most stable polymorph in this dataset: 0.256 eV/atom

***

## TaNbGa2S (GGA-PBE)

Data for a geometry-optimized TaNbGa2S structure.

Cell: 4.980 4.980 4.554 Å, 90.00 90.00 90.00°
Positions (direct):
1 Ta 0.000 0.000 0.000
2 Nb 0.500 0.500 0.500
3 Ga 0.000 0.500 0.000
4 Ga 0.500 0.000 0.000
5 S 0.000 0.000 0.500

final energy: -27.704 eV per formula unit